[1]
# TaV2B | Alexandria | PBE | relaxed
# Relative energy among the computed polymorphs = 0.000 eV/atom
# Calculated formation energy = -430 meV per atom
# DFT total energy = -9.6214 eV/atom
data_TaV2B
_chemical_formula_sum 'Ta4 V8 B4'
_cell_length_a 3.187
_cell_length_b 8.925
_cell_length_c 7.078
_cell_angle_alpha 90.00
_cell_angle_beta 90.00
_cell_angle_gamma 90.00
_space_group_name_H-M_alt 'C m c m'
_space_group_IT_number 63
_space_group_name_Hall '-C 2c 2'
loop_
_atom_site_label
_atom_site_fract_x
_atom_site_fract_y
_atom_site_fract_z
Ta1 0.000 0.049 0.250
V1 0.000 0.348 0.055
B1 0.000 0.238 0.750

[2]
# PmHo7Er5 | Alexandria | PBE | relaxed
# Calculated formation energy = 253 meV per atom
# DFT total energy = -4.3322 eV/atom
data_PmHo7Er5
_chemical_formula_sum 'Pm2 Ho14 Er10'
_cell_length_a 6.663
_cell_length_b 11.019
_cell_length_c 11.476
_cell_angle_alpha 90.00
_cell_angle_beta 90.00
_cell_angle_gamma 90.00
_space_group_name_H-M_alt 'I m m 2'
_space_group_IT_number 44
_space_group_name_Hall 'I 2 -2'
loop_
_atom_site_label
_atom_site_fract_x
_atom_site_fract_y
_atom_site_fract_z
Pm1 0.000 0.000 0.000
Ho1 0.000 0.000 0.305
Ho2 0.000 0.000 0.611
Ho3 0.000 0.329 0.053
Ho4 0.000 0.329 0.552
Ho5 0.000 0.500 0.804
Er1 0.000 0.500 0.301
Er2 0.233 0.229 0.802

[3]
# K2LaSc | Alexandria | PBE | relaxed
# Relative energy among the computed polymorphs = 0.518 eV/atom
# Calculated formation energy = 823 meV per atom
# DFT total energy = -2.5410 eV/atom
data_K2LaSc
_chemical_formula_sum 'K2 La1 Sc1'
_cell_length_a 4.813
_cell_length_b 4.813
_cell_length_c 7.488
_cell_angle_alpha 90.00
_cell_angle_beta 90.00
_cell_angle_gamma 90.00
_space_group_name_H-M_alt 'P 4/m m m'
_space_group_IT_number 123
_space_group_name_Hall '-P 4 2'
loop_
_atom_site_label
_atom_site_fract_x
_atom_site_fract_y
_atom_site_fract_z
K1 0.000 0.000 0.234
La1 0.500 0.500 0.500
Sc1 0.500 0.500 0.000

[4]
# ZnReSe2 | Alexandria | PBE | relaxed
# Relative energy among the computed polymorphs = 0.392 eV/atom
# DFT total energy = -4.7044 eV/atom
data_ZnReSe2
_chemical_formula_sum 'Zn2 Re2 Se4'
_cell_length_a 3.026
_cell_length_b 4.988
_cell_length_c 10.216
_cell_angle_alpha 90.00
_cell_angle_beta 90.00
_cell_angle_gamma 90.00
_space_group_name_H-M_alt 'C m m m'
_space_group_IT_number 65
_space_group_name_Hall '-C 2 2'
loop_
_atom_site_label
_atom_site_fract_x
_atom_site_fract_y
_atom_site_fract_z
Zn1 0.000 0.000 0.000
Re1 0.000 0.000 0.500
Se1 0.000 0.500 0.296

[5]
# CsNpHgF6 | Alexandria | PBE | relaxed
# DFT total energy = -5.6912 eV/atom
data_CsNpHgF6
_chemical_formula_sum 'Cs1 Np1 Hg1 F6'
_cell_length_a 5.655
_cell_length_b 6.703
_cell_length_c 6.758
_cell_angle_alpha 60.90
_cell_angle_beta 89.93
_cell_angle_gamma 89.23
_space_group_name_H-M_alt 'P 1'
_space_group_IT_number 1
_space_group_name_Hall 'P 1'
loop_
_atom_site_label
_atom_site_fract_x
_atom_site_fract_y
_atom_site_fract_z
Cs1 0.000 0.000 0.000
Np1 0.587 0.653 0.672
Hg1 0.235 0.345 0.326
F1 0.304 0.429 0.786
F2 0.434 0.856 0.797
F3 0.436 0.844 0.350
F4 0.756 0.444 0.568
F5 0.756 0.459 0.982
F6 0.874 0.870 0.563

[6]
# Tb3Nd2HoAs6 | Alexandria | PBE | relaxed
# Calculated formation energy = -1522 meV per atom
# DFT total energy = -6.1804 eV/atom
data_Tb3Nd2HoAs6
_chemical_formula_sum 'Tb6 Nd4 Ho2 As12'
_cell_length_a 18.207
_cell_length_b 4.180
_cell_length_c 8.355
_cell_angle_alpha 90.00
_cell_angle_beta 103.26
_cell_angle_gamma 90.00
_space_group_name_H-M_alt 'C 1 2/m 1'
_space_group_IT_number 12
_space_group_name_Hall '-C 2y'
loop_
_atom_site_label
_atom_site_fract_x
_atom_site_fract_y
_atom_site_fract_z
Tb1 0.000 0.000 0.000
Tb2 0.167 0.500 0.334
Nd1 0.166 0.500 0.832
Ho1 0.000 0.000 0.500
As1 0.002 0.500 0.253
As2 0.165 0.000 0.088
As3 0.166 0.000 0.577

[7]
# HfTi5I12 | Alexandria | PBE | relaxed
# DFT total energy = -4.4125 eV/atom
data_HfTi5I12
_chemical_formula_sum 'Hf2 Ti10 I24'
_cell_length_a 6.707
_cell_length_b 12.081
_cell_length_c 15.522
_cell_angle_alpha 90.00
_cell_angle_beta 90.30
_cell_angle_gamma 90.00
_space_group_name_H-M_alt 'C 1 2/m 1'
_space_group_IT_number 12
_space_group_name_Hall '-C 2y'
loop_
_atom_site_label
_atom_site_fract_x
_atom_site_fract_y
_atom_site_fract_z
Hf1 0.000 0.000 0.000
Ti1 0.000 0.145 0.500
Ti2 0.000 0.383 0.000
Ti3 0.000 0.500 0.500
I1 0.160 0.328 0.607
I2 0.171 0.000 0.622
I3 0.172 0.172 0.893
I4 0.178 0.500 0.870

[8]
# AcHg3Pd3 | Alexandria | PBE | relaxed
# Relative energy among the computed polymorphs = 0.054 eV/atom
# Calculated formation energy = -336 meV per atom
# DFT total energy = -3.2774 eV/atom
data_AcHg3Pd3
_chemical_formula_sum 'Ac6 Hg18 Pd18'
_cell_length_a 8.4103
_cell_length_b 8.4103
_cell_length_c 16.6262
_cell_angle_alpha 90.00
_cell_angle_beta 90.00
_cell_angle_gamma 120.00
_space_group_name_H-M_alt 'R -3'
_space_group_IT_number 148
_space_group_name_Hall '-R 3'
loop_
_atom_site_label
_atom_site_fract_x
_atom_site_fract_y
_atom_site_fract_z
Ac1 0.0000 0.0000 0.1734
Hg1 0.0174 0.3685 0.2937
Pd1 0.0108 0.2872 0.4557

[9]
# TbPr3Hg2 | Alexandria | PBE | relaxed
# Relative energy among the computed polymorphs = 0.000 eV/atom
# Calculated formation energy = -324 meV per atom
# DFT total energy = -3.5863 eV/atom
data_TbPr3Hg2
_chemical_formula_sum 'Tb2 Pr6 Hg4'
_cell_length_a 5.328
_cell_length_b 9.682
_cell_length_c 7.114
_cell_angle_alpha 90.00
_cell_angle_beta 90.00
_cell_angle_gamma 90.00
_space_group_name_H-M_alt 'P m c 21'
_space_group_IT_number 26
_space_group_name_Hall 'P 2c -2'
loop_
_atom_site_label
_atom_site_fract_x
_atom_site_fract_y
_atom_site_fract_z
Tb1 0.000 0.053 0.000
Pr1 0.000 0.323 0.662
Pr2 0.500 0.170 0.308
Pr3 0.500 0.447 0.973
Hg1 0.000 0.347 0.213
Hg2 0.500 0.148 0.760

[10]
# In4RhBr | Alexandria | PBE | relaxed
# DFT total energy = -2.9792 eV/atom
data_In4RhBr
_chemical_formula_sum 'In16 Rh4 Br4'
_cell_length_a 8.464
_cell_length_b 8.464
_cell_length_c 8.464
_cell_angle_alpha 90.00
_cell_angle_beta 90.00
_cell_angle_gamma 90.00
_space_group_name_H-M_alt 'F -4 3 m'
_space_group_IT_number 216
_space_group_name_Hall 'F -4 2 3'
loop_
_atom_site_label
_atom_site_fract_x
_atom_site_fract_y
_atom_site_fract_z
In1 0.124 0.124 0.124
Rh1 0.250 0.250 0.750
Br1 0.000 0.000 0.500

[11]
# CeDyHg2 | Alexandria | PBE | relaxed
# Relative energy among the computed polymorphs = 0.000 eV/atom
# Calculated formation energy = -387 meV per atom
# DFT total energy = -3.1721 eV/atom
data_CeDyHg2
_chemical_formula_sum 'Ce1 Dy1 Hg2'
_cell_length_a 3.705
_cell_length_b 3.705
_cell_length_c 7.828
_cell_angle_alpha 90.00
_cell_angle_beta 90.00
_cell_angle_gamma 90.00
_space_group_name_H-M_alt 'P 4/m m m'
_space_group_IT_number 123
_space_group_name_Hall '-P 4 2'
loop_
_atom_site_label
_atom_site_fract_x
_atom_site_fract_y
_atom_site_fract_z
Ce1 0.000 0.000 0.000
Dy1 0.000 0.000 0.500
Hg1 0.500 0.500 0.269

[12]
# YEr12Tm6 | Alexandria | PBE | relaxed
# Relative energy among the computed polymorphs = 0.282 eV/atom
# Calculated formation energy = 447 meV per atom
# DFT total energy = -4.1871 eV/atom
data_YEr12Tm6
_chemical_formula_sum 'Y3 Er36 Tm18'
_cell_length_a 14.8369
_cell_length_b 14.8369
_cell_length_c 10.0109
_cell_angle_alpha 90.00
_cell_angle_beta 90.00
_cell_angle_gamma 120.00
_space_group_name_H-M_alt 'R -3 m'
_space_group_IT_number 166
_space_group_name_Hall '-R 3 2"'
loop_
_atom_site_label
_atom_site_fract_x
_atom_site_fract_y
_atom_site_fract_z
Y1 0.0000 0.0000 0.0000
Er1 0.0000 0.3886 0.5000
Er2 0.0738 0.1477 0.2841
Tm1 0.0572 0.5286 0.2158

[13]
# BaPmMgTl | Alexandria | PBE | relaxed
# Calculated formation energy = -147 meV per atom
# DFT total energy = -2.8052 eV/atom
data_BaPmMgTl
_chemical_formula_sum 'Ba4 Pm4 Mg4 Tl4'
_cell_length_a 8.164
_cell_length_b 8.164
_cell_length_c 8.164
_cell_angle_alpha 90.00
_cell_angle_beta 90.00
_cell_angle_gamma 90.00
_space_group_name_H-M_alt 'F -4 3 m'
_space_group_IT_number 216
_space_group_name_Hall 'F -4 2 3'
loop_
_atom_site_label
_atom_site_fract_x
_atom_site_fract_y
_atom_site_fract_z
Ba1 0.000 0.000 0.000
Pm1 0.000 0.000 0.500
Mg1 0.250 0.250 0.750
Tl1 0.250 0.250 0.250

[14]
# BaZrTe3 | Alexandria | PBE | relaxed
# DFT total energy = -3.1741 eV/atom
data_BaZrTe3
_chemical_formula_sum 'Ba1 Zr1 Te3'
_cell_length_a 6.193
_cell_length_b 6.193
_cell_length_c 6.193
_cell_angle_alpha 90.00
_cell_angle_beta 90.00
_cell_angle_gamma 90.00
_space_group_name_H-M_alt 'P m -3 m'
_space_group_IT_number 221
_space_group_name_Hall '-P 4 2 3'
loop_
_atom_site_label
_atom_site_fract_x
_atom_site_fract_y
_atom_site_fract_z
Ba1 0.000 0.000 0.000
Zr1 0.500 0.500 0.500
Te1 0.000 0.000 0.500

[15]
# AsWSe2 | Alexandria | PBE | relaxed
# DFT total energy = -6.0671 eV/atom
data_AsWSe2
_chemical_formula_sum 'As3 W3 Se6'
_cell_length_a 3.2664
_cell_length_b 3.2664
_cell_length_c 27.0556
_cell_angle_alpha 90.00
_cell_angle_beta 90.00
_cell_angle_gamma 120.00
_space_group_name_H-M_alt 'R -3 m'
_space_group_IT_number 166
_space_group_name_Hall '-R 3 2"'
loop_
_atom_site_label
_atom_site_fract_x
_atom_site_fract_y
_atom_site_fract_z
As1 0.0000 0.0000 0.0000
W1 0.0000 0.0000 0.5000
Se1 0.0000 0.0000 0.1023

[16]
# VRuS2 | Alexandria | PBE | relaxed
# Relative energy among the computed polymorphs = 0.195 eV/atom
# DFT total energy = -6.8669 eV/atom
data_VRuS2
_chemical_formula_sum 'V4 Ru4 S8'
_cell_length_a 5.908
_cell_length_b 5.908
_cell_length_c 5.908
_cell_angle_alpha 90.00
_cell_angle_beta 90.00
_cell_angle_gamma 90.00
_space_group_name_H-M_alt 'F m -3 m'
_space_group_IT_number 225
_space_group_name_Hall '-F 4 2 3'
loop_
_atom_site_label
_atom_site_fract_x
_atom_site_fract_y
_atom_site_fract_z
V1 0.000 0.000 0.000
Ru1 0.000 0.000 0.500
S1 0.250 0.250 0.250

[17]
# CuOs3O | Alexandria | PBE | relaxed
# Relative energy among the computed polymorphs = 1.864 eV/atom
# DFT total energy = -5.6670 eV/atom
data_CuOs3O
_chemical_formula_sum 'Cu1 Os3 O1'
_cell_length_a 4.477
_cell_length_b 4.477
_cell_length_c 4.477
_cell_angle_alpha 90.00
_cell_angle_beta 90.00
_cell_angle_gamma 90.00
_space_group_name_H-M_alt 'P m -3 m'
_space_group_IT_number 221
_space_group_name_Hall '-P 4 2 3'
loop_
_atom_site_label
_atom_site_fract_x
_atom_site_fract_y
_atom_site_fract_z
Cu1 0.000 0.000 0.000
Os1 0.000 0.000 0.500
O1 0.500 0.500 0.500

[18]
# LaAuC | Alexandria | PBE | relaxed
# Calculated formation energy = -162 meV per atom
# DFT total energy = -5.9714 eV/atom
data_LaAuC
_chemical_formula_sum 'La2 Au2 C2'
_cell_length_a 3.673
_cell_length_b 4.649
_cell_length_c 7.721
_cell_angle_alpha 90.00
_cell_angle_beta 90.00
_cell_angle_gamma 90.00
_space_group_name_H-M_alt 'P m m 2'
_space_group_IT_number 25
_space_group_name_Hall 'P 2 -2'
loop_
_atom_site_label
_atom_site_fract_x
_atom_site_fract_y
_atom_site_fract_z
La1 0.000 0.000 0.000
La2 0.000 0.500 0.467
Au1 0.500 0.000 0.678
Au2 0.500 0.500 0.102
C1 0.500 0.141 0.313

[19]
# TiSbRuI2 | Alexandria | PBE | relaxed
# Relative energy among the computed polymorphs = 0.000 eV/atom
# DFT total energy = -4.0418 eV/atom
data_TiSbRuI2
_chemical_formula_sum 'Ti1 Sb1 Ru1 I2'
_cell_length_a 5.395
_cell_length_b 5.395
_cell_length_c 5.042
_cell_angle_alpha 90.00
_cell_angle_beta 90.00
_cell_angle_gamma 90.00
_space_group_name_H-M_alt 'P 4/m m m'
_space_group_IT_number 123
_space_group_name_Hall '-P 4 2'
loop_
_atom_site_label
_atom_site_fract_x
_atom_site_fract_y
_atom_site_fract_z
Ti1 0.000 0.000 0.000
Sb1 0.500 0.500 0.000
Ru1 0.500 0.500 0.500
I1 0.000 0.500 0.500

[20]
# LaScSi | Alexandria | PBE | relaxed
# Relative energy among the computed polymorphs = 0.283 eV/atom
# DFT total energy = -5.8993 eV/atom
data_LaScSi
_chemical_formula_sum 'La2 Sc2 Si2'
_cell_length_a 3.401
_cell_length_b 3.982
_cell_length_c 10.793
_cell_angle_alpha 90.00
_cell_angle_beta 90.00
_cell_angle_gamma 90.00
_space_group_name_H-M_alt 'I m m 2'
_space_group_IT_number 44
_space_group_name_Hall 'I 2 -2'
loop_
_atom_site_label
_atom_site_fract_x
_atom_site_fract_y
_atom_site_fract_z
La1 0.000 0.000 0.000
Sc1 0.000 0.000 0.279
Si1 0.000 0.000 0.690